Entry 1:
The following is a GGA-PBE calculation of an optimized crystal structure of BeSnSe2, from the Alexandria database.

Cell lengths 7.492, 7.492, 7.492 Å; angles 35.72, 35.72, 35.72 degrees
Positions (direct):
1 Sn 0.500 0.500 0.500
2 Be 0.000 0.000 0.000
3 Se 0.096 0.096 0.096
4 Se 0.904 0.904 0.904

Computed properties:
The total energy is -15.8 eV per cell. As for the total magnetic moment: 0.00 μB/f.u. The formation energy without anion corrections comes out at -0.267 eV per atom.

Entry 2:
The following is a GGA-PBE calculation of an optimized crystal structure of BeSnSe2, from the Alexandria database.

Cell lengths 4.878, 4.878, 4.878 Å; angles 60.00, 60.00, 60.00 degrees
Positions (direct):
1 Sn 0.500 0.500 0.500
2 Se 0.250 0.250 0.250
3 Se 0.750 0.750 0.750
4 Be 0.000 0.000 0.000

Computed properties:
The total energy is -13.5 eV per cell. As for the total magnetic moment: 0.00 μB/f.u. The formation energy without anion corrections comes out at 0.296 eV per atom.

Entry 3:
The following is a GGA-PBE calculation of an optimized crystal structure of BeSn2Se, from the Alexandria database.

Cell lengths 5.014, 5.014, 5.014 Å; angles 60.00, 60.00, 60.00 degrees
Positions (direct):
1 Be 0.000 0.000 0.000
2 Se 0.500 0.500 0.500
3 Sn 0.750 0.750 0.750
4 Sn 0.250 0.250 0.250

Computed properties:
The total energy is -13.4 eV per cell. As for the total magnetic moment: 0.00 μB/f.u. The formation energy without anion corrections comes out at 0.466 eV per atom.

Entry 4:
The following is a GGA-PBE calculation of an optimized crystal structure of Be2SnSe, from the Alexandria database.

Cell lengths 5.699, 5.699, 6.346 Å; angles 63.32, 63.32, 90.00 degrees
Positions (direct):
1 Be 0.875 0.831 0.750
2 Sn 0.750 0.250 0.500
3 Sn 0.000 0.000 0.000
4 Be 0.581 0.125 0.250
5 Se 0.250 0.750 0.500
6 Be 0.169 0.625 0.250
7 Se 0.500 0.500 0.000
8 Be 0.375 0.419 0.750

Computed properties:
The total energy is -29.6 eV per cell. As for the total magnetic moment: 0.00 μB/f.u. The formation energy without anion corrections comes out at 0.040 eV per atom.

Entry 5:
The following is a GGA-PBE calculation of an optimized crystal structure of Be2SnSe, from the Alexandria database.

Cell lengths 4.553, 4.553, 4.553 Å; angles 60.00, 60.00, 60.00 degrees
Positions (direct):
1 Se 0.000 0.000 0.000
2 Be 0.750 0.750 0.750
3 Be 0.250 0.250 0.250
4 Sn 0.500 0.500 0.500

Computed properties:
The total energy is -12.0 eV per cell. As for the total magnetic moment: 0.00 μB/f.u. The formation energy without anion corrections comes out at 0.724 eV per atom.

Entry 6:
The following is a GGA-PBE calculation of an optimized crystal structure of BeSn2Se, from the Alexandria database.

Cell lengths 5.971, 5.971, 7.366 Å; angles 66.09, 66.09, 90.00 degrees
Positions (direct):
1 Be 0.500 0.500 0.000
2 Sn 0.375 0.434 0.750
3 Sn 0.875 0.816 0.750
4 Se 0.750 0.250 0.500
5 Se 0.000 0.000 0.000
6 Be 0.250 0.750 0.500
7 Sn 0.184 0.625 0.250
8 Sn 0.566 0.125 0.250

Computed properties:
The total energy is -30.1 eV per cell. As for the total magnetic moment: 0.00 μB/f.u. The formation energy without anion corrections comes out at 0.036 eV per atom.

Question: total energy of number 6 (BeSn2Se)?
Answer: -30.1 eV per cell